A plane-wave DFT calculation with PBE was carried out for an optimized crystal structure of La2HgO2.

Output
calculated volume	111	Å³ per cell
VASP energy	-6.499	eV/atom
ρ	7.63	g/cm3
symmetry	I4/mmm
crystal system	tetragonal

Cell lengths 7.0927, 7.0927, 7.0927 Å; angles 146.01, 146.01, 48.84 degrees
With the nearest neighbours (Å) after each atom.
Positions (direct):
La  0.1589  0.1589  0.0000  4 O 2.38
La  0.8411  0.8411  0.0000  4 O 2.38
Hg  0.5000  0.5000  0.0000  8 La 3.58, 8 O 3.84
O  0.2500  0.7500  0.5000  4 La 2.38
O  0.7500  0.2500  0.5000  4 La 2.38

***

A plane-wave DFT calculation with PBE was carried out for an optimized crystal structure of LaHgPO.

Output
calculated volume	193	Å³ per cell
VASP energy	-5.289	eV/atom
ρ	6.64	g/cm3
symmetry	Pmc2_1
crystal system	orthorhombic

Cell lengths 4.4080, 6.9864, 6.2756 Å; angles 90.00, 90.00, 90.00 degrees
With the nearest neighbours (Å) after each atom.
Positions (direct):
La  0.0000  0.2294  0.0000  2 O 2.28
La  0.0000  0.7706  0.5000  2 O 2.28
Hg  0.5000  0.3449  0.5128  1 O 2.41, 2 P 2.44
Hg  0.5000  0.6551  0.0128  1 O 2.41, 2 P 2.44
P  0.0000  0.1971  0.4991  2 Hg 2.44
P  0.0000  0.8029  0.9991  2 Hg 2.44
O  0.5000  0.3109  0.9977  2 La 2.28, 1 Hg 2.41
O  0.5000  0.6891  0.4977  2 La 2.28, 1 Hg 2.41

***

A plane-wave DFT calculation with PBE was carried out for an optimized crystal structure of LaHgPO.

Output
calculated volume	90	Å³ per cell
VASP energy	-5.148	eV/atom
ρ	7.11	g/cm3
symmetry	P4/mmm
crystal system	tetragonal

Cell lengths 4.3853, 4.3853, 4.6911 Å; angles 90.00, 90.00, 90.00 degrees
With the nearest neighbours (Å) after each atom.
Positions (direct):
La  0.0000  0.0000  0.0000  2 O 2.35
Hg  0.5000  0.5000  0.5000  2 P 2.35
P  0.5000  0.5000  0.0000  2 Hg 2.35
O  0.0000  0.0000  0.5000  2 La 2.35

***

- What is the formula in the first record?
  La2HgO2